A plane-wave DFT calculation with PBE was carried out for a relaxed K2U3PbSe8 crystal.

Summary:
Volume   35.48 A^3/atom
E_form (uncorrected)   -1.080 eV/atom
Magnetization   6.00 μB/f.u.

CIF file:
```
data_K2U3PbSe8
_cell_length_a 14.713
_cell_length_b 8.487
_cell_length_c 9.341
_cell_angle_alpha 90.00
_cell_angle_beta 121.61
_cell_angle_gamma 90.00
_symmetry_space_group_name_H-M 'C 1 m 1'
_symmetry_Int_Tables_number 8
loop_
_symmetry_equiv_pos_as_xyz
'x,y,z'
'x,-y,z'
'x+1/2,y+1/2,z'
'x+1/2,-y+1/2,z'
loop_
_atom_site_label
_atom_site_type_symbol
_atom_site_fract_x
_atom_site_fract_y
_atom_site_fract_z
K1 K 0.000 0.000 0.000
K2 K 0.137 0.500 0.912
U1 U 0.136 0.500 0.403
U2 U 0.384 0.252 0.403
Pb1 Pb 0.251 0.000 0.754
Se1 Se 0.113 0.264 0.603
Se2 Se 0.163 0.269 0.217
Se3 Se 0.365 0.500 0.596
Se4 Se 0.378 0.000 0.604
Se5 Se 0.392 0.500 0.217
Se6 Se 0.405 0.000 0.215
```